Entry 1:
! PrHoIn3 GGA-PBE optimized geometry; values from VASP
&SYSTEM
  ibrav = 0, nat = 10, ntyp = 3
/
ATOMIC_SPECIES
Pr 140.91 Pr.upf
Ho 164.93 Ho.upf
In 114.82 In.upf
ATOMIC_POSITIONS crystal
Pr 0.197 0.250 0.393
Pr 0.803 0.750 0.607
Ho 0.567 0.250 0.134
Ho 0.433 0.750 0.866
In 0.132 0.250 0.738
In 0.606 0.250 0.738
In 0.394 0.750 0.262
In 0.868 0.750 0.262
In 0.000 0.000 0.000
In 0.000 0.500 0.000
CELL_PARAMETERS angstrom
6.178 0.000 0.000
0.000 5.604 0.000
-3.089 0.000 8.377
! Energy relative to the elements in eV per atom: -0.30
! Energy in eV/cell: -38.157
! Magnetic moment in μB/cell: 0.0
! Energy relative to the lowest polymorph listed for this composition in meV/atom: 148

***

Entry 2:
! KTa2Cu GGA-PBE optimized geometry; values from VASP
&SYSTEM
  ibrav = 0, nat = 4, ntyp = 3
/
ATOMIC_SPECIES
Cu 63.55 Cu.upf
K 39.10 K.upf
Ta 180.95 Ta.upf
ATOMIC_POSITIONS crystal
Cu 0.500 0.000 0.500
K 0.000 0.500 0.500
Ta 0.000 0.000 0.000
Ta 0.500 0.500 0.000
CELL_PARAMETERS angstrom
2.847 0.000 0.000
0.000 5.013 0.000
0.000 0.000 5.826
! Energy relative to the elements in eV per atom: 1.10
! Energy in eV/cell: -24.483
! Magnetic moment in μB/cell: 0.0
! Energy relative to the lowest polymorph listed for this composition in meV/atom: 523